# 1
Below is a relaxed structure of Mg2Ag8Hg, with properties calculated at the GGA-PBE level.

The structure belongs to space group C2/m (No. 12); the cell edges are 7.7970, 13.0987 and 5.1372 Å and the angles 90.00°, 125.29° and 90.00°. The distinct sites, in fractional coordinates, are Mg at (0.0000, 0.1916, 0.0000), Ag at (0.0000, 0.2827, 0.5000), Ag at (0.0837, 0.0000, 0.3182), Ag at (0.2138, 0.3822, 0.1220) and Hg at (0.0000, 0.5000, 0.5000).

Its density of states at the Fermi level is 4.90 states/eV/cell. The final energy is -2.374 eV/atom. The calculation puts the formation energy at 0.02 eV/atom. Its magnetization is 0.0 μB per cell.


# 2
Below is a relaxed structure of MgAg2Hg, with properties calculated at the GGA-PBE level.

The structure belongs to space group C2/m (No. 12); the cell edges are 9.8845, 3.2230 and 4.9742 Å and the angles 90.00°, 102.88° and 90.00°. The distinct sites, in fractional coordinates, are Mg at (0.0000, 0.0000, 0.0000), Ag at (0.2447, 0.5000, 0.2422) and Hg at (0.0000, 0.5000, 0.5000).

Its density of states at the Fermi level is 1.80 states/eV/cell. The final energy is -1.999 eV/atom. The calculation puts the formation energy at -0.10 eV/atom. Its magnetization is 0.0 μB per cell.


# 3
Below is a relaxed structure of MgAgHg2, with properties calculated at the GGA-PBE level.

The structure belongs to space group Cm (No. 8); the cell edges are 9.9899, 3.2526 and 5.2719 Å and the angles 90.00°, 101.31° and 90.00°. The distinct sites, in fractional coordinates, are Mg at (0.0000, 0.0000, 0.0000), Ag at (0.2659, 0.0000, 0.7514), Hg at (0.0121, 0.5000, 0.5204) and Hg at (0.2459, 0.5000, 0.2271).

Its density of states at the Fermi level is 1.77 states/eV/cell. The final energy is -1.335 eV/atom. The calculation puts the formation energy at -0.07 eV/atom. Its magnetization is 0.0 μB per cell.